Entry 1:
A geometry-optimized AgHgI2N structure, computed with PBE.

Output
Energy above the most stable polymorph in this dataset = 0 meV per atom
Theoretical density = 6.568 g cm⁻³
Crystal system = tetragonal
E_form (uncorrected) = 827 meV per atom

```
data_AgHgI2N
_chemical_formula_sum 'Ag1 Hg1 I2 N1'
_space_group_name_H-M_alt 'P 4/m m m'
_space_group_IT_number 123
_space_group_name_Hall '-P 4 2'
_cell_length_a 5.9266
_cell_length_b 5.9266
_cell_length_c 4.1478
_cell_angle_alpha 90.00
_cell_angle_beta 90.00
_cell_angle_gamma 90.00
loop_
_atom_site_label
_atom_site_type_symbol
_atom_site_fract_x
_atom_site_fract_y
_atom_site_fract_z
_atom_site_occupancy
Ag1 Ag 0.0000 0.0000 0.0000 1
Hg1 Hg 0.5000 0.5000 0.5000 1
I1 I 0.0000 0.5000 0.0000 1
N1 N 0.0000 0.0000 0.5000 1
```

---

Entry 2:
A geometry-optimized AgHgI2N structure, computed with PBE.

Output
Energy above the most stable polymorph in this dataset = 87 meV per atom
Theoretical density = 6.044 g cm⁻³
Crystal system = tetragonal
E_form (uncorrected) = 914 meV per atom

```
data_AgHgI2N
_chemical_formula_sum 'Ag1 Hg1 I2 N1'
_space_group_name_H-M_alt 'P 4/m m m'
_space_group_IT_number 123
_space_group_name_Hall '-P 4 2'
_cell_length_a 6.1648
_cell_length_b 6.1648
_cell_length_c 4.1660
_cell_angle_alpha 90.00
_cell_angle_beta 90.00
_cell_angle_gamma 90.00
loop_
_atom_site_label
_atom_site_type_symbol
_atom_site_fract_x
_atom_site_fract_y
_atom_site_fract_z
_atom_site_occupancy
Ag1 Ag 0.0000 0.0000 0.0000 1
Hg1 Hg 0.5000 0.5000 0.5000 1
I1 I 0.0000 0.5000 0.5000 1
N1 N 0.5000 0.5000 0.0000 1
```

---

Entry 3:
A geometry-optimized Na2AgHgI5 structure, computed with PBE.

Output
Theoretical density = 4.134 g cm⁻³
Crystal system = orthorhombic
E_form (uncorrected) = -672 meV per atom

```
data_Na2AgHgI5
_chemical_formula_sum 'Na8 Ag4 Hg4 I20'
_space_group_name_H-M_alt 'C m c 21'
_space_group_IT_number 36
_space_group_name_Hall 'C 2c -2'
_cell_length_a 4.6236
_cell_length_b 23.2491
_cell_length_c 14.7814
_cell_angle_alpha 90.00
_cell_angle_beta 90.00
_cell_angle_gamma 90.00
loop_
_atom_site_label
_atom_site_type_symbol
_atom_site_fract_x
_atom_site_fract_y
_atom_site_fract_z
_atom_site_occupancy
Na1 Na 0.0000 0.0827 0.0000 1
Na2 Na 0.0000 0.1682 0.2788 1
Ag1 Ag 0.0000 0.2452 0.6774 1
Hg1 Hg 0.0000 0.4406 0.9934 1
I1 I 0.0000 0.0392 0.6122 1
I2 I 0.0000 0.3050 0.2414 1
I3 I 0.0000 0.3280 0.9271 1
I4 I 0.0000 0.3608 0.6251 1
I5 I 0.0000 0.4652 0.3724 1
```

---

Entry 4:
A geometry-optimized NaAgHgI4 structure, computed with PBE.

Output
Theoretical density = 5.324 g cm⁻³
Crystal system = orthorhombic
E_form (uncorrected) = -518 meV per atom

```
data_NaAgHgI4
_chemical_formula_sum 'Na4 Ag4 Hg4 I16'
_space_group_name_H-M_alt 'I m m a'
_space_group_IT_number 74
_space_group_name_Hall '-I 2b 2'
_cell_length_a 9.0148
_cell_length_b 9.0322
_cell_length_c 12.8566
_cell_angle_alpha 90.00
_cell_angle_beta 90.00
_cell_angle_gamma 90.00
loop_
_atom_site_label
_atom_site_type_symbol
_atom_site_fract_x
_atom_site_fract_y
_atom_site_fract_z
_atom_site_occupancy
Na1 Na 0.2500 0.2500 0.2500 1
Ag1 Ag 0.0000 0.0000 0.0000 1
Hg1 Hg 0.0000 0.2500 0.6236 1
I1 I 0.0000 0.0034 0.2396 1
I2 I 0.2320 0.2500 0.0003 1
```

---

Entry 5:
A geometry-optimized NaAgHgI2 structure, computed with PBE.

Output
Theoretical density = 4.912 g cm⁻³
Crystal system = tetragonal
E_form (uncorrected) = -78 meV per atom

```
data_NaAgHgI2
_chemical_formula_sum 'Na1 Ag1 Hg1 I2'
_space_group_name_H-M_alt 'P 4/m m m'
_space_group_IT_number 123
_space_group_name_Hall '-P 4 2'
_cell_length_a 5.9926
_cell_length_b 5.9926
_cell_length_c 5.5099
_cell_angle_alpha 90.00
_cell_angle_beta 90.00
_cell_angle_gamma 90.00
loop_
_atom_site_label
_atom_site_type_symbol
_atom_site_fract_x
_atom_site_fract_y
_atom_site_fract_z
_atom_site_occupancy
Na1 Na 0.0000 0.0000 0.0000 1
Ag1 Ag 0.5000 0.5000 0.5000 1
Hg1 Hg 0.0000 0.0000 0.5000 1
I1 I 0.0000 0.5000 0.0000 1
```

---

Entry 6:
A geometry-optimized NaAgHg2I6 structure, computed with PBE.

Output
Theoretical density = 5.056 g cm⁻³
Crystal system = monoclinic
E_form (uncorrected) = -452 meV per atom

```
data_NaAgHg2I6
_chemical_formula_sum 'Na4 Ag4 Hg8 I24'
_space_group_name_H-M_alt 'C 1 2/c 1'
_space_group_IT_number 15
_space_group_name_Hall '-C 2yc'
_cell_length_a 15.4710
_cell_length_b 14.2526
_cell_length_c 8.1686
_cell_angle_alpha 90.00
_cell_angle_beta 109.38
_cell_angle_gamma 90.00
loop_
_atom_site_label
_atom_site_type_symbol
_atom_site_fract_x
_atom_site_fract_y
_atom_site_fract_z
_atom_site_occupancy
Na1 Na 0.0000 0.1146 0.2500 1
Ag1 Ag 0.0000 0.2040 0.7500 1
Hg1 Hg 0.1859 0.4214 0.2261 1
I1 I 0.1163 0.0686 0.6422 1
I2 I 0.1233 0.4153 0.5258 1
I3 I 0.1255 0.2416 0.0821 1
```

---

Entry 7:
A geometry-optimized NpAg2Hg2I6 structure, computed with PBE.

Output
Theoretical density = 5.794 g cm⁻³
Crystal system = monoclinic
E_form (uncorrected) = -415 meV per atom

```
data_NpAg2Hg2I6
_chemical_formula_sum 'Np2 Ag4 Hg4 I12'
_space_group_name_H-M_alt 'C 1 2/m 1'
_space_group_IT_number 12
_space_group_name_Hall '-C 2y'
_cell_length_a 14.0957
_cell_length_b 8.6774
_cell_length_c 10.2847
_cell_angle_alpha 90.00
_cell_angle_beta 132.61
_cell_angle_gamma 90.00
loop_
_atom_site_label
_atom_site_type_symbol
_atom_site_fract_x
_atom_site_fract_y
_atom_site_fract_z
_atom_site_occupancy
Np1 Np 0.0000 0.0000 0.0000 1
Ag1 Ag 0.2117 0.5000 0.3377 1
Hg1 Hg 0.0351 0.5000 0.3822 1
I1 I 0.0338 0.0000 0.3218 1
I2 I 0.2056 0.2421 0.1614 1
```

---

Entry 8:
A geometry-optimized AgHgI2O structure, computed with PBE.

Output
Energy above the most stable polymorph in this dataset = 0 meV per atom
Theoretical density = 7.000 g cm⁻³
Crystal system = tetragonal
E_form (uncorrected) = 251 meV per atom

```
data_AgHgI2O
_chemical_formula_sum 'Ag1 Hg1 I2 O1'
_space_group_name_H-M_alt 'P 4/m m m'
_space_group_IT_number 123
_space_group_name_Hall '-P 4 2'
_cell_length_a 5.8164
_cell_length_b 5.8164
_cell_length_c 4.0547
_cell_angle_alpha 90.00
_cell_angle_beta 90.00
_cell_angle_gamma 90.00
loop_
_atom_site_label
_atom_site_type_symbol
_atom_site_fract_x
_atom_site_fract_y
_atom_site_fract_z
_atom_site_occupancy
Ag1 Ag 0.0000 0.0000 0.0000 1
Hg1 Hg 0.5000 0.5000 0.5000 1
I1 I 0.0000 0.5000 0.0000 1
O1 O 0.0000 0.0000 0.5000 1
```

---

Entry 9:
A geometry-optimized AgHgI2O structure, computed with PBE.

Output
Energy above the most stable polymorph in this dataset = 30 meV per atom
Theoretical density = 6.810 g cm⁻³
Crystal system = tetragonal
E_form (uncorrected) = 281 meV per atom

```
data_AgHgI2O
_chemical_formula_sum 'Ag1 Hg1 I2 O1'
_space_group_name_H-M_alt 'P 4/m m m'
_space_group_IT_number 123
_space_group_name_Hall '-P 4 2'
_cell_length_a 5.8414
_cell_length_b 5.8414
_cell_length_c 4.1324
_cell_angle_alpha 90.00
_cell_angle_beta 90.00
_cell_angle_gamma 90.00
loop_
_atom_site_label
_atom_site_type_symbol
_atom_site_fract_x
_atom_site_fract_y
_atom_site_fract_z
_atom_site_occupancy
Ag1 Ag 0.0000 0.0000 0.0000 1
Hg1 Hg 0.5000 0.5000 0.0000 1
I1 I 0.0000 0.5000 0.5000 1
O1 O 0.5000 0.5000 0.5000 1
```

---

Entry 10:
A geometry-optimized AgHgI2O structure, computed with PBE.

Output
Energy above the most stable polymorph in this dataset = 32 meV per atom
Theoretical density = 6.521 g cm⁻³
Crystal system = tetragonal
E_form (uncorrected) = 283 meV per atom

```
data_AgHgI2O
_chemical_formula_sum 'Ag1 Hg1 I2 O1'
_space_group_name_H-M_alt 'P 4/m m m'
_space_group_IT_number 123
_space_group_name_Hall '-P 4 2'
_cell_length_a 5.9985
_cell_length_b 5.9985
_cell_length_c 4.0921
_cell_angle_alpha 90.00
_cell_angle_beta 90.00
_cell_angle_gamma 90.00
loop_
_atom_site_label
_atom_site_type_symbol
_atom_site_fract_x
_atom_site_fract_y
_atom_site_fract_z
_atom_site_occupancy
Ag1 Ag 0.0000 0.0000 0.0000 1
Hg1 Hg 0.5000 0.5000 0.5000 1
I1 I 0.0000 0.5000 0.5000 1
O1 O 0.5000 0.5000 0.0000 1
```

---

Entry 11:
A geometry-optimized Ag2HgIO structure, computed with PBE.

Output
Theoretical density = 7.308 g cm⁻³
Crystal system = tetragonal
E_form (uncorrected) = 378 meV per atom

```
data_Ag2HgIO
_chemical_formula_sum 'Ag2 Hg1 I1 O1'
_space_group_name_H-M_alt 'P 4/m m m'
_space_group_IT_number 123
_space_group_name_Hall '-P 4 2'
_cell_length_a 5.5890
_cell_length_b 5.5890
_cell_length_c 4.0681
_cell_angle_alpha 90.00
_cell_angle_beta 90.00
_cell_angle_gamma 90.00
loop_
_atom_site_label
_atom_site_type_symbol
_atom_site_fract_x
_atom_site_fract_y
_atom_site_fract_z
_atom_site_occupancy
Ag1 Ag 0.0000 0.5000 0.0000 1
Hg1 Hg 0.0000 0.0000 0.5000 1
I1 I 0.5000 0.5000 0.0000 1
O1 O 0.5000 0.5000 0.5000 1
```

---

Which value of E_form (uncorrected) does entry 4 give? -518 meV per atom

---

Number 10 is which compound? AgHgI2O

---

Which of these has the highest theoretical density? Ag2HgIO